Below is MnWAu2 after structural relaxation, with properties calculated at the PBE level.

a = 2.9698 Å, b = 4.7446 Å, c = 9.3309 Å
α = 90.00°, β = 90.00°, γ = 90.00°
Positions (direct):
Mn 0.0000 0.0000 0.0000
Mn 0.5000 0.5000 0.5000
W 0.0000 0.5000 0.7085
W 0.5000 0.0000 0.2085
Au 0.0000 0.0000 0.4810
Au 0.0000 0.5000 0.2548
Au 0.5000 0.0000 0.7548
Au 0.5000 0.5000 0.9810

Values from the calculation:
* space-group type: Imm2 (44)
* energy relative to the lowest polymorph listed for this composition: 177 meV/atom
* VASP energy: -54.411 eV per cell
* total moment: 3.8 μB per cell
* crystal system: orthorhombic
* ΔE_f: 35.5 kJ/mol of atoms